Material: CsVF3
Method: DFT, GGA+U
State: optimized geometry

Lattice parameters (Å, degrees): 4.5288 4.5288 9.2328 90.00 90.00 120.00
Space group P6_3/mmc (No. 194)
Asymmetric unit:
Cs 0.3333 0.6667 0.2500 x2
V 0.0000 0.0000 0.0000 x2
F 0.0000 0.0000 0.2500 x2
F 0.3333 0.6667 0.5534 x4

Computed properties:
Uncorrected energy in eV for the cell shown: -47.835